# GGA-PBE NaCrBr2, relaxed
data_NaCrBr2
_chemical_formula_sum 'Na3 Cr3 Br6'
_symmetry_space_group_name_H-M 'R -3 m'
_symmetry_Int_Tables_number 166
_symmetry_space_group_name_Hall '-R 3 2"'
_cell_length_a 4.0765
_cell_length_b 4.0765
_cell_length_c 26.0170
_cell_angle_alpha 90.00
_cell_angle_beta 90.00
_cell_angle_gamma 120.00
loop_
_atom_site_label
_atom_site_type_symbol
_atom_site_fract_x
_atom_site_fract_y
_atom_site_fract_z
Na1 Na 0.0000 0.0000 0.0000
Cr1 Cr 0.0000 0.0000 0.5000
Br1 Br 0.0000 0.0000 0.1102
# formation energy (no corrections): -47 kJ/mol of atoms
# E: -48.75 eV for the cell shown
# energy above the lowest structure with this stoichiometry: 172.8 meV/atom